{
  "formula": "Mg2Cd2SnGe",
  "functional": "GGA-PBE",
  "state": "optimized geometry",
  "lattice_angstrom": [[11.478, 0.000, 0.000], [0.000, 4.732, 0.000], [-3.863, 0.000, 10.836]],
  "species": ["Mg", "Mg", "Mg", "Mg", "Mg", "Mg", "Mg", "Mg", "Cd", "Cd", "Cd", "Cd", "Cd", "Cd", "Cd", "Cd", "Sn", "Sn", "Sn", "Sn", "Ge", "Ge", "Ge", "Ge"],
  "frac_coords": [[0.000, 0.000, 0.000], [0.107, 0.500, 0.361], [0.235, 0.000, 0.735], [0.375, 0.500, 0.128], [0.505, 0.000, 0.513], [0.623, 0.500, 0.880], [0.737, 0.000, 0.255], [0.868, 0.500, 0.640], [0.106, 0.500, 0.609], [0.258, 0.000, 0.996], [0.370, 0.500, 0.380], [0.502, 0.000, 0.765], [0.623, 0.500, 0.125], [0.758, 0.000, 0.515], [0.869, 0.500, 0.887], [0.980, 0.000, 0.244], [0.121, 0.500, 0.872], [0.241, 0.000, 0.248], [0.371, 0.500, 0.633], [0.625, 0.500, 0.382], [0.505, 0.000, 0.009], [0.749, 0.000, 0.759], [0.867, 0.500, 0.127], [0.994, 0.000, 0.494]],
  "energy_ev_per_cell": -53.8,
  "mass_density_g_cm3": 5.2
}

=====

{
  "formula": "SrMgCdGe2",
  "functional": "GGA-PBE",
  "state": "optimized geometry",
  "lattice_angstrom": [[4.590, 0.000, 0.000], [0.000, 4.590, 0.000], [0.000, 0.000, 11.581]],
  "species": ["Sr", "Sr", "Mg", "Mg", "Cd", "Cd", "Ge", "Ge", "Ge", "Ge"],
  "frac_coords": [[0.250, 0.250, 0.247], [0.750, 0.750, 0.753], [0.250, 0.750, 0.500], [0.750, 0.250, 0.500], [0.250, 0.250, 0.863], [0.750, 0.750, 0.137], [0.250, 0.250, 0.634], [0.250, 0.750, 0.000], [0.750, 0.250, 0.000], [0.750, 0.750, 0.366]],
  "energy_ev_per_cell": -30.4,
  "mass_density_g_cm3": 5.0
}

=====

{
  "formula": "SrMgCdGe2",
  "functional": "GGA-PBE",
  "state": "optimized geometry",
  "lattice_angstrom": [[4.527, 0.000, 0.000], [0.000, 4.527, 0.000], [0.000, 0.000, 11.697]],
  "species": ["Sr", "Sr", "Mg", "Mg", "Cd", "Cd", "Ge", "Ge", "Ge", "Ge"],
  "frac_coords": [[0.000, 0.000, 0.000], [0.500, 0.500, 0.500], [0.000, 0.500, 0.750], [0.500, 0.000, 0.250], [0.000, 0.500, 0.250], [0.500, 0.000, 0.750], [0.000, 0.000, 0.390], [0.000, 0.000, 0.610], [0.500, 0.500, 0.110], [0.500, 0.500, 0.890]],
  "energy_ev_per_cell": -30.8,
  "mass_density_g_cm3": 5.1
}

=====

{
  "formula": "Mg2ZnCdGe2",
  "functional": "GGA-PBE",
  "state": "optimized geometry",
  "lattice_angstrom": [[7.795, 0.000, 0.000], [0.000, 4.443, 0.000], [-2.349, 0.000, 14.616]],
  "species": ["Mg", "Mg", "Mg", "Mg", "Mg", "Mg", "Mg", "Mg", "Zn", "Zn", "Zn", "Zn", "Cd", "Cd", "Cd", "Cd", "Ge", "Ge", "Ge", "Ge", "Ge", "Ge", "Ge", "Ge"],
  "frac_coords": [[0.000, 0.000, 0.000], [0.009, 0.500, 0.490], [0.233, 0.000, 0.734], [0.245, 0.500, 0.238], [0.478, 0.000, 0.479], [0.499, 0.500, 0.997], [0.742, 0.000, 0.231], [0.760, 0.500, 0.736], [0.062, 0.500, 0.673], [0.063, 0.000, 0.183], [0.305, 0.500, 0.421], [0.556, 0.500, 0.181], [0.306, 0.000, 0.925], [0.555, 0.000, 0.672], [0.807, 0.000, 0.424], [0.811, 0.500, 0.927], [0.119, 0.500, 0.855], [0.129, 0.000, 0.361], [0.357, 0.500, 0.605], [0.372, 0.000, 0.120], [0.605, 0.500, 0.359], [0.620, 0.000, 0.863], [0.875, 0.500, 0.122], [0.884, 0.000, 0.616]],
  "energy_ev_per_cell": -57.9,
  "mass_density_g_cm3": 4.9
}

=====

{
  "formula": "CdGeMo",
  "functional": "GGA-PBE",
  "state": "optimized geometry",
  "lattice_angstrom": [[6.139, 0.000, 0.000], [0.000, 6.139, 0.000], [0.000, 0.000, 6.139]],
  "species": ["Cd", "Cd", "Cd", "Cd", "Ge", "Ge", "Ge", "Ge", "Mo", "Mo", "Mo", "Mo"],
  "frac_coords": [[0.000, 0.000, 0.000], [0.000, 0.500, 0.500], [0.500, 0.000, 0.500], [0.500, 0.500, 0.000], [0.250, 0.250, 0.250], [0.250, 0.750, 0.750], [0.750, 0.250, 0.750], [0.750, 0.750, 0.250], [0.000, 0.000, 0.500], [0.000, 0.500, 0.000], [0.500, 0.000, 0.000], [0.500, 0.500, 0.500]],
  "energy_ev_per_cell": -58.2,
  "mass_density_g_cm3": 8.1
}

=====

{
  "formula": "CdGe2Mo",
  "functional": "GGA-PBE",
  "state": "optimized geometry",
  "lattice_angstrom": [[6.619, 0.000, 0.000], [0.000, 6.619, 0.000], [0.000, 0.000, 6.619]],
  "species": ["Cd", "Cd", "Cd", "Cd", "Ge", "Ge", "Ge", "Ge", "Ge", "Ge", "Ge", "Ge", "Mo", "Mo", "Mo", "Mo"],
  "frac_coords": [[0.000, 0.000, 0.000], [0.000, 0.500, 0.500], [0.500, 0.000, 0.500], [0.500, 0.500, 0.000], [0.000, 0.000, 0.500], [0.000, 0.500, 0.000], [0.250, 0.250, 0.250], [0.250, 0.750, 0.750], [0.500, 0.000, 0.000], [0.500, 0.500, 0.500], [0.750, 0.250, 0.750], [0.750, 0.750, 0.250], [0.250, 0.250, 0.750], [0.250, 0.750, 0.250], [0.750, 0.250, 0.250], [0.750, 0.750, 0.750]],
  "energy_ev_per_cell": -72.9,
  "mass_density_g_cm3": 8.1
}

=====

{
  "formula": "CdNiGeMo",
  "functional": "GGA-PBE",
  "state": "optimized geometry",
  "lattice_angstrom": [[6.269, 0.000, 0.000], [0.000, 6.269, 0.000], [0.000, 0.000, 6.269]],
  "species": ["Cd", "Cd", "Cd", "Cd", "Ni", "Ni", "Ni", "Ni", "Ge", "Ge", "Ge", "Ge", "Mo", "Mo", "Mo", "Mo"],
  "frac_coords": [[0.000, 0.000, 0.000], [0.000, 0.500, 0.500], [0.500, 0.000, 0.500], [0.500, 0.500, 0.000], [0.250, 0.250, 0.750], [0.250, 0.750, 0.250], [0.750, 0.250, 0.250], [0.750, 0.750, 0.750], [0.000, 0.000, 0.500], [0.000, 0.500, 0.000], [0.500, 0.000, 0.000], [0.500, 0.500, 0.500], [0.250, 0.250, 0.250], [0.250, 0.750, 0.750], [0.750, 0.250, 0.750], [0.750, 0.750, 0.250]],
  "energy_ev_per_cell": -82.4,
  "mass_density_g_cm3": 9.2
}

=====

{
  "formula": "Nb4CdGeN2",
  "functional": "GGA-PBE",
  "state": "optimized geometry",
  "lattice_angstrom": [[3.219, 0.000, 0.000], [-1.609, 2.788, 0.000], [0.000, 0.000, 13.395]],
  "species": ["Nb", "Nb", "Nb", "Nb", "Cd", "Ge", "N", "N"],
  "frac_coords": [[0.000, 0.000, 0.147], [0.000, 0.000, 0.853], [0.667, 0.333, 0.319], [0.667, 0.333, 0.681], [0.000, 0.000, 0.500], [0.667, 0.333, 0.000], [0.333, 0.667, 0.237], [0.333, 0.667, 0.763]],
  "energy_ev_per_cell": -67.0,
  "mass_density_g_cm3": 8.1
}

=====

{
  "formula": "CdGeNO",
  "functional": "GGA-PBE",
  "state": "optimized geometry",
  "lattice_angstrom": [[3.408, 0.000, 0.000], [0.000, 6.080, 0.000], [0.000, 0.000, 5.597]],
  "species": ["Cd", "Cd", "Ge", "Ge", "N", "N", "O", "O"],
  "frac_coords": [[0.000, 0.153, 0.000], [0.000, 0.847, 0.500], [0.500, 0.335, 0.482], [0.500, 0.665, 0.982], [0.000, 0.209, 0.401], [0.000, 0.791, 0.901], [0.500, 0.377, 0.834], [0.500, 0.623, 0.334]],
  "energy_ev_per_cell": -40.2,
  "mass_density_g_cm3": 6.2
}

=====

{
  "formula": "CdGeNO",
  "functional": "GGA-PBE",
  "state": "optimized geometry",
  "lattice_angstrom": [[5.760, 0.000, 0.000], [0.000, 6.782, 0.000], [0.000, 0.000, 6.099]],
  "species": ["Cd", "Cd", "Cd", "Cd", "Ge", "Ge", "Ge", "Ge", "N", "N", "N", "N", "O", "O", "O", "O"],
  "frac_coords": [[0.105, 0.124, 0.000], [0.395, 0.124, 0.500], [0.605, 0.876, 0.000], [0.895, 0.876, 0.500], [0.087, 0.621, 0.959], [0.413, 0.621, 0.459], [0.587, 0.379, 0.959], [0.913, 0.379, 0.459], [0.040, 0.153, 0.357], [0.460, 0.153, 0.857], [0.540, 0.847, 0.357], [0.960, 0.847, 0.857], [0.101, 0.592, 0.325], [0.399, 0.592, 0.825], [0.601, 0.408, 0.325], [0.899, 0.408, 0.825]],
  "energy_ev_per_cell": -78.7,
  "mass_density_g_cm3": 6.0
}

=====

Results for calculated volume: 24.5; 24.4; 24.0; 21.1; 19.3; 18.1; 15.4; 15.0; 14.5; 14.9 (in Å³ per atom, following the order of the records).